Computed, not measured: a PBEsol-optimized structure of Sn3As4 at the meta-GGA SCAN level of DFT.

a = 5.7325 Å, b = 5.7325 Å, c = 5.7325 Å
α = 90.00°, β = 90.00°, γ = 90.00°
Last column: nearest neighbours and their distance in Å.
Space group P-43m (No. 215)
One atom of each set of equivalent atoms:
1 Sn 0.0000 0.0000 0.5000 [3 per cell]  4 As 2.65
2 As 0.2920 0.2920 0.7080 [4 per cell]  3 Sn 2.65

Raw total energy in eV/cell: -188.59
Volume in Å³ per cell: 188.38
ρ in g cm⁻³: 5.78
Spin magnetization in Bohr magnetons per cell: 0.0
Crystal system: cubic
Formation energy from the elements in eV/atom: -0.009

---

Computed, not measured: a PBEsol-optimized structure of Sr2SnAs2 at the meta-GGA SCAN level of DFT.

a = 3.8477 Å, b = 3.8477 Å, c = 18.9677 Å
α = 90.00°, β = 90.00°, γ = 90.00°
Last column: nearest neighbours and their distance in Å.
Space group I4/mmm (No. 139)
One atom of each set of equivalent atoms:
1 Sr 0.0000 0.0000 0.1158 [4 per cell]  4 As 3.19, 4 Sn 3.50
2 Sn 0.0000 0.0000 0.5000 [2 per cell]  8 Sr 3.50, 4 Sn 3.85
3 As 0.0000 0.5000 0.2500 [4 per cell]  4 As 2.72

Raw total energy in eV/cell: -248.87
Volume in Å³ per cell: 280.82
ρ in g cm⁻³: 5.25
Spin magnetization in Bohr magnetons per cell: 0.0
Crystal system: tetragonal
Formation energy from the elements in eV/atom: -0.717

---

Computed, not measured: a PBEsol-optimized structure of Sr2SnAs2 at the meta-GGA SCAN level of DFT.

a = 7.7636 Å, b = 7.7636 Å, c = 4.4378 Å
α = 90.00°, β = 90.00°, γ = 90.00°
Last column: nearest neighbours and their distance in Å.
Space group P4/mbm (No. 127)
One atom of each set of equivalent atoms:
1 Sr 0.1778 0.3222 0.0000 [4 per cell]  6 As 3.14-3.23
2 Sn 0.0000 0.0000 0.5000 [2 per cell]  4 As 3.10
3 As 0.1197 0.6197 0.5000 [4 per cell]  1 As 2.63

Raw total energy in eV/cell: -250.70
Volume in Å³ per cell: 267.48
ρ in g cm⁻³: 5.51
Spin magnetization in Bohr magnetons per cell: 0.0
Crystal system: tetragonal
Formation energy from the elements in eV/atom: -0.899

---

Computed, not measured: a PBEsol-optimized structure of Sr5Sn2As6 at the meta-GGA SCAN level of DFT.

a = 12.4451 Å, b = 13.9383 Å, c = 4.2432 Å
α = 90.00°, β = 90.00°, γ = 90.00°
Last column: nearest neighbours and their distance in Å.
Space group Pbam (No. 55)
One atom of each set of equivalent atoms:
1 Sr 0.0000 0.0000 0.0000 [2 per cell]  6 As 3.18-3.19
2 Sr 0.1209 0.2457 0.0000 [4 per cell]  6 As 3.11-3.20
3 Sr 0.1332 0.5696 0.0000 [4 per cell]  7 As 3.21-3.37
4 Sn 0.2132 0.8956 0.5000 [4 per cell]  4 As 2.63-2.69
5 As 0.0754 0.4041 0.5000 [4 per cell]  1 Sn 2.63
6 As 0.1302 0.8026 0.0000 [4 per cell]  2 Sn 2.69
7 As 0.1679 0.0804 0.5000 [4 per cell]  1 Sn 2.64

Raw total energy in eV/cell: -635.47
Volume in Å³ per cell: 736.05
ρ in g cm⁻³: 5.08
Spin magnetization in Bohr magnetons per cell: 0.0
Crystal system: orthorhombic
Formation energy from the elements in eV/atom: -1.029

---

Computed, not measured: a PBEsol-optimized structure of Sr3Sn2As4 at the meta-GGA SCAN level of DFT.

a = 7.6612 Å, b = 19.1263 Å, c = 7.6815 Å
α = 90.00°, β = 112.04°, γ = 90.00°
Last column: nearest neighbours and their distance in Å.
Space group P2_1/c (No. 14)
One atom of each set of equivalent atoms:
1 Sr 0.2110 0.1823 0.0088 [4 per cell]  6 As 3.15-3.25
2 Sr 0.2587 0.0598 0.5113 [4 per cell]  6 As 3.16-3.28, 1 Sn 3.51
3 Sr 0.2636 0.5627 0.5051 [4 per cell]  6 As 3.09-3.29
4 Sn 0.2066 0.6221 0.0281 [4 per cell]  3 As 2.58-2.68, 1 Sn 2.77
5 Sn 0.3217 0.7442 0.9098 [4 per cell]  3 As 2.63-2.65, 1 Sn 2.77
6 As 0.0068 0.0534 0.7620 [4 per cell]  1 Sn 2.58
7 As 0.0190 0.6826 0.2205 [4 per cell]  2 Sn 2.63-2.68
8 As 0.4701 0.1941 0.7704 [4 per cell]  2 Sn 2.65
9 As 0.4881 0.0633 0.2444 [4 per cell]  1 Sn 2.59

Raw total energy in eV/cell: -910.74
Volume in Å³ per cell: 1043.35
ρ in g cm⁻³: 5.09
Spin magnetization in Bohr magnetons per cell: 0.0
Crystal system: monoclinic
Formation energy from the elements in eV/atom: -0.917

---

Computed, not measured: a PBEsol-optimized structure of TaSnAs2 at the meta-GGA SCAN level of DFT.

a = 6.0950 Å, b = 6.0950 Å, c = 11.9515 Å
α = 90.00°, β = 90.00°, γ = 90.00°
Last column: nearest neighbours and their distance in Å.
Space group I-42d (No. 122)
One atom of each set of equivalent atoms:
1 Ta 0.0000 0.0000 0.0000 [4 per cell]  4 As 2.48
2 Sn 0.0000 0.0000 0.5000 [4 per cell]  4 As 2.79
3 As 0.2062 0.2500 0.1250 [8 per cell]  2 Ta 2.48

Raw total energy in eV/cell: -567.31
Volume in Å³ per cell: 443.99
ρ in g cm⁻³: 6.72
Spin magnetization in Bohr magnetons per cell: 3.8
Crystal system: tetragonal
Formation energy from the elements in eV/atom: 0.265

---

Computed, not measured: a PBEsol-optimized structure of Y2TaSnAs at the meta-GGA SCAN level of DFT.

a = 5.3085 Å, b = 5.3085 Å, c = 5.1655 Å
α = 90.00°, β = 90.00°, γ = 90.00°
Last column: nearest neighbours and their distance in Å.
Space group P4/mmm (No. 123)
One atom of each set of equivalent atoms:
1 Y 0.0000 0.5000 0.0000 [2 per cell]  2 Ta 2.65
2 Ta 0.0000 0.0000 0.0000 [1 per cell]  2 Sn 2.58, 4 Y 2.65
3 Sn 0.0000 0.0000 0.5000 [1 per cell]  2 Ta 2.58
4 As 0.5000 0.5000 0.5000 [1 per cell]  8 Y 3.70, 4 Sn 3.75

Raw total energy in eV/cell: -175.87
Volume in Å³ per cell: 145.56
ρ in g cm⁻³: 6.30
Spin magnetization in Bohr magnetons per cell: 0.0
Crystal system: tetragonal
Formation energy from the elements in eV/atom: 0.502

---

Computed, not measured: a PBEsol-optimized structure of Ti2SnAs at the meta-GGA SCAN level of DFT.

a = 6.5289 Å, b = 6.5289 Å, c = 6.5289 Å
α = 90.00°, β = 90.00°, γ = 90.00°
Last column: nearest neighbours and their distance in Å.
Space group Fm-3m (No. 225)
One atom of each set of equivalent atoms:
1 Ti 0.2500 0.2500 0.2500 [8 per cell]  4 As 2.83, 4 Sn 2.83
2 Sn 0.0000 0.0000 0.0000 [4 per cell]  8 Ti 2.83
3 As 0.0000 0.0000 0.5000 [4 per cell]  8 Ti 2.83

Raw total energy in eV/cell: -356.69
Volume in Å³ per cell: 278.30
ρ in g cm⁻³: 6.91
Spin magnetization in Bohr magnetons per cell: 0.0
Crystal system: cubic
Formation energy from the elements in eV/atom: -0.250

---

Computed, not measured: a PBEsol-optimized structure of TiSnAs2 at the meta-GGA SCAN level of DFT.

a = 6.0191 Å, b = 6.0191 Å, c = 11.9114 Å
α = 90.00°, β = 90.00°, γ = 90.00°
Last column: nearest neighbours and their distance in Å.
Space group I-42d (No. 122)
One atom of each set of equivalent atoms:
1 Ti 0.0000 0.0000 0.0000 [4 per cell]  4 As 2.46
2 Sn 0.0000 0.0000 0.5000 [4 per cell]  4 As 2.75
3 As 0.2083 0.2500 0.1250 [8 per cell]  2 Ti 2.46, 2 Sn 2.75

Raw total energy in eV/cell: -371.95
Volume in Å³ per cell: 431.54
ρ in g cm⁻³: 4.87
Spin magnetization in Bohr magnetons per cell: 0.0
Crystal system: tetragonal
Formation energy from the elements in eV/atom: -0.164

---

Computed, not measured: a PBEsol-optimized structure of TlSn3As at the meta-GGA SCAN level of DFT.

a = 5.3382 Å, b = 5.3382 Å, c = 5.3382 Å
α = 90.00°, β = 90.00°, γ = 90.00°
Last column: nearest neighbours and their distance in Å.
Space group Pm-3m (No. 221)
One atom of each set of equivalent atoms:
1 Tl 0.0000 0.0000 0.0000 [1 per cell]  12 Sn 3.77
2 Sn 0.0000 0.5000 0.5000 [3 per cell]  2 As 2.67
3 As 0.5000 0.5000 0.5000 [1 per cell]  6 Sn 2.67

Raw total energy in eV/cell: -197.78
Volume in Å³ per cell: 152.12
ρ in g cm⁻³: 6.94
Spin magnetization in Bohr magnetons per cell: 0.0
Crystal system: cubic
Formation energy from the elements in eV/atom: 0.506

---

Computed, not measured: a PBEsol-optimized structure of TlSn3As at the meta-GGA SCAN level of DFT.

a = 5.5252 Å, b = 5.5252 Å, c = 5.5252 Å
α = 90.00°, β = 90.00°, γ = 90.00°
Last column: nearest neighbours and their distance in Å.
Space group Pm-3m (No. 221)
One atom of each set of equivalent atoms:
1 Tl 0.0000 0.0000 0.0000 [1 per cell]  6 Sn 2.76
2 Sn 0.0000 0.0000 0.5000 [3 per cell]  2 Tl 2.76
3 As 0.5000 0.5000 0.5000 [1 per cell]  12 Sn 3.91

Raw total energy in eV/cell: -195.40
Volume in Å³ per cell: 168.67
ρ in g cm⁻³: 6.26
Spin magnetization in Bohr magnetons per cell: 0.0
Crystal system: cubic
Formation energy from the elements in eV/atom: 0.982

---

Computed, not measured: a PBEsol-optimized structure of TlSnAs2 at the meta-GGA SCAN level of DFT.

a = 7.1256 Å, b = 7.1256 Å, c = 7.1256 Å
α = 90.00°, β = 90.00°, γ = 90.00°
Last column: nearest neighbours and their distance in Å.
Space group Fm-3m (No. 225)
One atom of each set of equivalent atoms:
1 Tl 0.0000 0.0000 0.0000 [4 per cell]  8 As 3.09
2 Sn 0.0000 0.0000 0.5000 [4 per cell]  8 As 3.09
3 As 0.2500 0.2500 0.2500 [8 per cell]  4 Tl 3.09, 4 Sn 3.09

Raw total energy in eV/cell: -588.92
Volume in Å³ per cell: 361.80
ρ in g cm⁻³: 8.68
Spin magnetization in Bohr magnetons per cell: 0.0
Crystal system: cubic
Formation energy from the elements in eV/atom: 0.357

---

What is the formula in the sixth record? TaSnAs2

---

Look up the formation energy from the elements of the tenth one. 0.506 eV/atom

---

Which of these has the highest raw total energy? Y2TaSnAs

---

Look up the ρ of the eighth one. 6.91 g cm⁻³